The following is a PBE-GGA calculation of SbTe2Rh after structural relaxation, from Alexandria.

a b c (Å): 3.783 4.638 12.159
angles (deg): 90.00 90.00 90.00
Space group Immm (No. 71)
One atom of each set of equivalent atoms:
Sb (0.000, 0.000, 0.000) [2 per cell]
Te (0.000, 0.500, 0.162) [4 per cell]
Rh (0.000, 0.000, 0.500) [2 per cell]

Values from the calculation:
The calculation puts the formation energy from raw total energies at -87 meV/atom.



The following is a PBE-GGA calculation of Tb3Ho2Sc2 after structural relaxation, from Alexandria.

a b c (Å): 6.289 10.463 6.405
angles (deg): 90.00 92.31 90.00
Space group P2_1/c (No. 14)
One atom of each set of equivalent atoms:
Tb (0.000, 0.000, 0.000) [2 per cell]
Tb (0.256, 0.059, 0.524) [4 per cell]
Ho (0.142, 0.742, 0.748) [4 per cell]
Sc (0.450, 0.146, 0.025) [4 per cell]

Values from the calculation:
The formation energy is 0.215 eV/atom.



The following is a PBE-GGA calculation of ScCuPb2 after structural relaxation, from Alexandria.

a b c (Å): 3.402 4.416 6.333
angles (deg): 90.00 95.90 90.00
Space group P2/m (No. 10)
One atom of each set of equivalent atoms:
Sc (0.000, 0.000, 0.000) [1 per cell]
Cu (0.500, 0.000, 0.500) [1 per cell]
Pb (0.379, 0.500, 0.744) [2 per cell]

Values from the calculation:
The formation energy is 0.009 eV/atom.



The following is a PBE-GGA calculation of Cu2Pb after structural relaxation, from Alexandria.

a b c (Å): 4.946 4.946 8.978
angles (deg): 90.00 90.00 90.00
Space group I4/mcm (No. 140)
One atom of each set of equivalent atoms:
Cu (0.177, 0.323, 0.000) [8 per cell]
Pb (0.000, 0.000, 0.250) [4 per cell]

Values from the calculation:
The formation energy is 0.215 eV/atom.



The following is a PBE-GGA calculation of PrDy2Ho5Tm after structural relaxation, from Alexandria.

a b c (Å): 8.983 8.983 14.469
angles (deg): 90.00 90.00 90.00
Space group I4/mcm (No. 140)
One atom of each set of equivalent atoms:
Pr (0.000, 0.000, 0.250) [4 per cell]
Dy (0.112, 0.388, 0.000) [8 per cell]
Ho (0.000, 0.000, 0.000) [4 per cell]
Ho (0.205, 0.295, 0.369) [16 per cell]
Tm (0.000, 0.500, 0.250) [4 per cell]

Values from the calculation:
The formation energy is 0.293 eV/atom.



The following is a PBE-GGA calculation of Cs2Cu2Br5 after structural relaxation, from Alexandria.

a b c (Å): 11.380 7.210 7.211
angles (deg): 90.00 90.00 90.00
Space group Amm2 (No. 38)
One atom of each set of equivalent atoms:
Cs (0.000, 0.000, 0.000) [2 per cell]
Cs (0.500, 0.000, 0.001) [2 per cell]
Cu (0.229, 0.000, 0.499) [4 per cell]
Br (0.000, 0.000, 0.500) [2 per cell]
Br (0.268, 0.250, 0.250) [8 per cell]

Values from the calculation:
The calculation puts the formation energy from raw total energies at -946 meV/atom.



Respective uncorrected energy values: -36.21; -68.40; -17.81; -45.02; -154.81; -53.56 eV for the cell shown.
Respective M_tot values: 0.00; 0.00; 0.00; 0.00; 0.00; 0.00 μB/f.u..